Entry from Alexandria via LeMat-Bulk: an optimized crystal structure of SrMgInHg2 (PBE).

The calculation puts the formation energy at -0.367 eV/atom. The total energy is -1.690 eV/atom. As for the symmetry: No. 119.

abc: 4.577 4.577 7.312
angles: 108.24 108.24 90.00
Sites, in units of the cell vectors:
Sr1 0.000 0.000 0.000
Mg1 0.750 0.250 0.500
In1 0.250 0.750 0.500
Hg1 0.610 0.610 0.220
Hg2 0.390 0.390 0.780

Entry from Alexandria via LeMat-Bulk: an optimized crystal structure of Cu3AuC (PBE).

The calculation puts the formation energy at 2.112 eV/atom. The polymorph energy (0 for the lowest one) is 1.778 eV/atom. The total energy is -2.846 eV/atom. As for the symmetry: No. 221.

abc: 4.749 4.749 4.749
angles: 90.00 90.00 90.00
Sites, in units of the cell vectors:
C1 0.500 0.500 0.500
Au1 0.000 0.000 0.000
Cu1 0.000 0.500 0.000
Cu2 0.000 0.000 0.500
Cu3 0.500 0.000 0.000

Entry from Alexandria via LeMat-Bulk: an optimized crystal structure of PmDyS2O (PBE).

The total energy is -7.021 eV/atom. As for the formation energy without anion corrections: -2.508 eV/atom. As for the symmetry: No. 129.

abc: 3.927 3.927 13.976
angles: 90.00 90.00 90.00
Sites, in units of the cell vectors:
Pm1 0.500 0.000 0.587
Pm2 0.000 0.500 0.413
Dy1 0.500 0.000 0.123
Dy2 0.000 0.500 0.877
S1 0.000 0.500 0.699
S2 0.000 0.500 0.090
S3 0.500 0.000 0.910
S4 0.500 0.000 0.301
O1 0.000 0.000 0.500
O2 0.500 0.500 0.500

Entry from Alexandria via LeMat-Bulk: an optimized crystal structure of PrAsPd2 (PBE).

The calculation puts the formation energy at -0.698 eV/atom. The total energy is -5.652 eV/atom. As for the symmetry: No. 47.

abc: 4.245 3.906 5.367
angles: 90.05 90.00 90.00
Sites, in units of the cell vectors:
Pr1 0.500 0.500 0.000
As1 0.500 0.000 0.500
Pd1 0.000 0.000 0.248
Pd2 0.000 0.000 0.752

Entry from Alexandria via LeMat-Bulk: an optimized crystal structure of Ti2HgH (PBE).

The polymorph energy (0 for the lowest one) is 0.561 eV/atom. The total energy is -4.426 eV/atom. As for the symmetry: No. 225.

abc: 4.468 4.468 4.468
angles: 60.00 60.00 60.00
Sites, in units of the cell vectors:
H1 0.000 0.000 0.000
Hg1 0.500 0.500 0.500
Ti1 0.250 0.250 0.250
Ti2 0.750 0.750 0.750

Entry from Alexandria via LeMat-Bulk: an optimized crystal structure of Ga2SiB2Ir5 (PBE).

The total energy is -7.161 eV/atom. As for the formation energy without anion corrections: -0.247 eV/atom. As for the symmetry: No. 127.

abc: 3.005 9.282 9.282
angles: 90.00 90.00 90.00
Sites, in units of the cell vectors:
Ga1 0.000 0.674 0.174
Ga2 0.000 0.326 0.826
Ga3 0.000 0.174 0.326
Ga4 0.000 0.826 0.674
Si1 0.000 0.000 0.000
Si2 0.000 0.500 0.500
B1 0.000 0.126 0.626
B2 0.000 0.874 0.374
B3 0.000 0.626 0.874
B4 0.000 0.374 0.126
Ir1 0.500 0.206 0.081
Ir2 0.500 0.794 0.919
Ir3 0.500 0.081 0.794
Ir4 0.500 0.706 0.419
Ir5 0.500 0.919 0.206
Ir6 0.500 0.294 0.581
Ir7 0.500 0.581 0.706
Ir8 0.500 0.419 0.294
Ir9 0.500 0.500 0.000
Ir10 0.500 0.000 0.500

Entry from Alexandria via LeMat-Bulk: an optimized crystal structure of SrCdRh2 (PBE).

The calculation puts the formation energy at 0.142 eV/atom. The total energy is -4.183 eV/atom. As for the symmetry: No. 122.

abc: 4.701 4.701 9.975
angles: 76.37 76.37 90.00
Sites, in units of the cell vectors:
Sr1 0.500 0.500 0.000
Sr2 0.250 0.750 0.500
Rh1 0.789 0.125 0.250
Rh2 0.961 0.625 0.250
Rh3 0.375 0.211 0.750
Rh4 0.875 0.039 0.750
Cd1 0.000 0.000 0.000
Cd2 0.750 0.250 0.500

Entry from Alexandria via LeMat-Bulk: an optimized crystal structure of Ho4AlBi (PBE).

The calculation puts the formation energy at -0.378 eV/atom. The polymorph energy (0 for the lowest one) is 0.000 eV/atom. The total energy is -4.700 eV/atom. As for the symmetry: No. 216.

abc: 9.897 9.897 9.897
angles: 60.00 60.00 60.00
Sites, in units of the cell vectors:
Ho1 0.371 0.371 0.371
Ho2 0.888 0.371 0.371
Ho3 0.371 0.888 0.371
Ho4 0.371 0.371 0.888
Ho5 0.555 0.555 0.945
Ho6 0.945 0.945 0.555
Ho7 0.555 0.945 0.555
Ho8 0.945 0.555 0.945
Ho9 0.945 0.555 0.555
Ho10 0.555 0.945 0.945
Ho11 0.185 0.185 0.815
Ho12 0.815 0.815 0.185
Ho13 0.185 0.815 0.185
Ho14 0.815 0.185 0.815
Ho15 0.815 0.185 0.185
Ho16 0.185 0.815 0.815
Al1 0.155 0.155 0.155
Al2 0.536 0.155 0.155
Al3 0.155 0.536 0.155
Al4 0.155 0.155 0.536
Bi1 0.597 0.597 0.597
Bi2 0.210 0.597 0.597
Bi3 0.597 0.210 0.597
Bi4 0.597 0.597 0.210